Record 1
Here is an optimized crystal structure of K2Cu2As from Alexandria via LeMat-Bulk. Energies are from PBE.

The space group is I4/mmm (No. 139) and the conventional cell measures 6.460, 6.460 and 6.958 Å, with angles of 90.00, 90.00 and 90.00 degrees. The asymmetric unit holds K at (0.000, 0.500, 0.250), Cu at (0.000, 0.000, 0.169) and As at (0.000, 0.000, 0.500).

The formation energy is 0.1197 eV per atom. The value obtained for the distance to the lowest polymorph of the same formula is 44 meV/atom. The value obtained for the uncorrected energy is -14.4 eV per formula unit.


Record 2
Here is an optimized crystal structure of Pm4Pr11Y9 from Alexandria via LeMat-Bulk. Energies are from PBE.

The space group is Cmmm (No. 65) and the conventional cell measures 17.173, 25.939 and 3.742 Å, with angles of 90.00, 90.00 and 90.00 degrees. The asymmetric unit holds Pm at (0.156, 0.101, 0.000), Pr at (0.000, 0.133, 0.500), Pr at (0.000, 0.341, 0.500), Pr at (0.000, 0.500, 0.500), Pr at (0.209, 0.000, 0.500), Pr at (0.226, 0.319, 0.500), Y at (0.000, 0.000, 0.000), Y at (0.101, 0.235, 0.000) and Y at (0.139, 0.427, 0.000).

The formation energy is 0.0524 eV per atom. The value obtained for the uncorrected energy is -128.5 eV per formula unit.


Record 3
Here is an optimized crystal structure of Cr2SiSb from Alexandria via LeMat-Bulk. Energies are from PBE.

The space group is Amm2 (No. 38) and the conventional cell measures 4.449, 3.111 and 9.310 Å, with angles of 90.00, 90.00 and 90.00 degrees. The asymmetric unit holds Cr at (0.000, 0.000, 0.000), Cr at (0.500, 0.000, 0.380), Si at (0.000, 0.000, 0.284) and Sb at (0.500, 0.000, 0.649).

Its energy relative to the elements, uncorrected is 1.38 eV/f.u. The value obtained for the distance to the lowest polymorph of the same formula is 183 meV/atom. The value obtained for the uncorrected energy is -27.4 eV per formula unit.


Record 4
Here is an optimized crystal structure of PmGe2Au6 from Alexandria via LeMat-Bulk. Energies are from PBE.

The space group is P4/mmm (No. 123) and the conventional cell measures 4.477, 4.477 and 8.854 Å, with angles of 90.00, 90.00 and 90.00 degrees. The asymmetric unit holds Pm at (0.000, 0.000, 0.000), Ge at (0.500, 0.500, 0.139), Au at (0.000, 0.000, 0.500), Au at (0.000, 0.500, 0.283) and Au at (0.500, 0.500, 0.500).

The formation energy is -0.2843 eV per atom. The value obtained for the distance to the lowest polymorph of the same formula is 0 meV/atom. The value obtained for the uncorrected energy is -36.2 eV per formula unit.